Computed, not measured: a PBEsol-optimized structure of KVPO5 at the meta-GGA SCAN level of DFT.

## Properties
* magnetic moment: 4.000 Bohr magnetons per cell
* energy relative to the elements, uncorrected: -2.604 eV per atom
* offset from the most stable computed form: 0.156 eV per formula unit
* space-group type: No. 19

```
data_KVPO5
_chemical_formula_sum 'K4 V4 P4 O20'
_symmetry_space_group_name_H-M 'P 1'
_symmetry_Int_Tables_number 1
_symmetry_space_group_name_Hall 'P 1'
_cell_length_a 7.311
_cell_length_b 7.648
_cell_length_c 8.380
_cell_angle_alpha 90.00
_cell_angle_beta 90.00
_cell_angle_gamma 90.00
loop_
_atom_site_label
_atom_site_type_symbol
_atom_site_fract_x
_atom_site_fract_y
_atom_site_fract_z
_atom_site_occupancy
P1 P 0.121 0.186 0.903 1
O1 O 0.224 0.822 0.275 1
O2 O 0.776 0.322 0.225 1
V1 V 0.117 0.054 0.615 1
O3 O 0.724 0.678 0.725 1
O4 O 0.418 0.807 0.975 1
O5 O 0.533 0.914 0.311 1
P2 P 0.379 0.814 0.403 1
V2 V 0.383 0.946 0.115 1
O6 O 0.033 0.586 0.689 1
O7 O 0.082 0.193 0.475 1
O8 O 0.437 0.627 0.445 1
O9 O 0.177 0.095 0.060 1
O10 O 0.823 0.595 0.440 1
O11 O 0.563 0.127 0.055 1
O12 O 0.276 0.178 0.775 1
K1 K 0.885 0.963 0.241 1
O13 O 0.937 0.873 0.555 1
O14 O 0.323 0.905 0.560 1
O15 O 0.582 0.307 0.525 1
O16 O 0.467 0.414 0.189 1
K2 K 0.615 0.037 0.741 1
O17 O 0.063 0.373 0.945 1
K3 K 0.385 0.537 0.759 1
O18 O 0.677 0.405 0.940 1
V3 V 0.617 0.446 0.385 1
P3 P 0.621 0.314 0.097 1
O19 O 0.967 0.086 0.811 1
V4 V 0.883 0.554 0.885 1
O20 O 0.918 0.693 0.025 1
P4 P 0.879 0.686 0.597 1
K4 K 0.115 0.463 0.259 1
```